MgVNF2: optimized geometry, PBE+U.

a b c (Å): 3.987 3.987 3.964
angles (deg): 90.00 90.00 90.00
Site moments in Bohr magnetons follow the coordinates.
Atoms (fractional coordinates):
N 0.000 0.000 0.500  -0.22
Mg 0.500 0.500 0.500  0.01
F 0.000 0.500 0.000  0.02
F 0.500 0.000 0.000  0.02
V 0.000 0.000 0.000  1.96

Energy relative to the lowest polymorph listed for this composition   0 meV per atom
N(E_F)   0.332 states/eV per atom
Magnetization   1.9 μB/cell